This record from Alexandria via LeMat-Bulk describes a geometry-optimized Tb7TmTl3 structure. The functional is PBE-GGA.

Magnetization: 0.000 μB per atom
Theoretical density: 9.16 g/cm3
Symmetry: C2/m, No. 12
DFT formation energy: 0.029 eV/atom

a b c (Å): 8.0435 8.0435 5.9390
angles (deg): 107.67 107.67 93.87
With the nearest neighbours (Å) after each atom.
Fractional coordinates of all 11 atoms:
Tb1 0.0000 0.0000 0.0000  2 Tm 2.97, 2 Tl 3.11
Tb2 0.1055 0.5314 0.3029  3 Tl 3.09-3.24, 2 Tb 3.34-3.41
Tb3 0.3282 0.3282 0.8446  4 Tl 3.24-3.49, 1 Tm 3.26, 1 Tb 3.38
Tb4 0.4686 0.8945 0.6971  3 Tl 3.09-3.24, 2 Tb 3.34-3.41
Tb5 0.5314 0.1055 0.3029  3 Tl 3.09-3.24, 2 Tb 3.34-3.41
Tb6 0.6718 0.6718 0.1554  4 Tl 3.24-3.49, 1 Tm 3.26, 1 Tb 3.38
Tb7 0.8945 0.4686 0.6971  3 Tl 3.09-3.24, 2 Tb 3.34-3.41
Tm1 0.0000 0.0000 0.5000  4 Tb 2.97-3.26
Tl1 0.2647 0.7353 0.0000  7 Tb 3.11-3.24
Tl2 0.5000 0.5000 0.5000  6 Tb 3.09-3.34
Tl3 0.7353 0.2647 0.0000  7 Tb 3.11-3.24